(1)
Density functional theory data (PBE-GGA) for crystalline BaNa2PH at its relaxed geometry.

The structure in POSCAR format:
```
BaNa2PH
1.0
4.6774 0.0000 0.0000
0.0000 4.6774 0.0000
0.0000 0.0000 5.3652
Ba Na P H
1 2 1 1
Direct
0.0000 0.0000 0.0000
0.0000 0.5000 0.5000
0.5000 0.0000 0.5000
0.5000 0.5000 0.0000
0.0000 0.0000 0.5000
```

**Distance to the lowest polymorph of the same formula**: 47.0 meV/atom
**Uncorrected energy**: -0.1135 hartree per atom
**Magnetic moment**: 0.0 μB/cell


(2)
Density functional theory data (PBE-GGA) for crystalline BaNa2HPb at its relaxed geometry.

The structure in POSCAR format:
```
BaNa2HPb
1.0
5.1482 0.0000 0.0000
0.0000 5.1482 0.0000
0.0000 0.0000 5.3708
Ba Na H Pb
1 2 1 1
Direct
0.0000 0.0000 0.0000
0.0000 0.5000 0.5000
0.5000 0.0000 0.5000
0.0000 0.0000 0.5000
0.5000 0.5000 0.0000
```

**Distance to the lowest polymorph of the same formula**: 0.0 meV/atom
**Uncorrected energy**: -0.0949 hartree per atom
**Magnetic moment**: 0.0 μB/cell


(3)
Density functional theory data (PBE-GGA) for crystalline BaNa2HPb at its relaxed geometry.

The structure in POSCAR format:
```
BaNa2HPb
1.0
5.8479 0.0000 0.0000
0.0000 5.8479 0.0000
0.0000 0.0000 6.6436
Ba Na H Pb
1 2 1 1
Direct
0.0000 0.0000 0.0000
0.0000 0.5000 0.5000
0.5000 0.0000 0.5000
0.5000 0.5000 0.0000
0.0000 0.0000 0.5000
```

**Distance to the lowest polymorph of the same formula**: 504.1 meV/atom
**Uncorrected energy**: -0.0764 hartree per atom
**Magnetic moment**: 0.0 μB/cell


(4)
Density functional theory data (PBE-GGA) for crystalline Ba6Na2HPd at its relaxed geometry.

The structure in POSCAR format:
```
Ba6Na2HPd
1.0
6.1913 -6.2014 0.0000
6.1913 6.2014 0.0000
-6.1866 0.0000 6.1982
Ba Na H Pd
6 2 1 1
Direct
0.0000 0.0000 0.0000
0.0014 0.0014 0.4956
0.0010 0.5063 0.0014
0.5063 0.0010 0.0014
0.5055 0.5055 0.5065
0.5068 0.5068 0.0021
0.0035 0.5034 0.5009
0.5034 0.0035 0.5009
0.7531 0.7531 0.0012
0.2534 0.2534 0.0011
```

**Uncorrected energy**: -0.0902 hartree per atom
**Magnetic moment**: 0.0 μB/cell


(5)
Density functional theory data (PBE-GGA) for crystalline Ba2NaH12Pd3 at its relaxed geometry.

The structure in POSCAR format:
```
Ba2NaH12Pd3
1.0
3.3889 1.9566 5.1470
-3.3889 1.9566 5.1470
0.0000 -3.9132 5.1470
Ba Na H Pd
2 1 12 3
Direct
0.1136 0.1136 0.1136
0.8864 0.8864 0.8864
0.5000 0.5000 0.5000
0.0954 0.6147 0.6147
0.2067 0.2067 0.5952
0.2067 0.5952 0.2067
0.3853 0.3853 0.9046
0.3853 0.9046 0.3853
0.4048 0.7933 0.7933
0.5952 0.2067 0.2067
0.6147 0.0954 0.6147
0.6147 0.6147 0.0954
0.7933 0.4048 0.7933
0.7933 0.7933 0.4048
0.9046 0.3853 0.3853
0.0000 0.5000 0.5000
0.5000 0.0000 0.5000
0.5000 0.5000 0.0000
```

**Uncorrected energy**: -0.1349 hartree per atom
**Magnetic moment**: 0.0 μB/cell


(6)
Density functional theory data (PBE-GGA) for crystalline BaNaH3Pd at its relaxed geometry.

The structure in POSCAR format:
```
BaNaH3Pd
1.0
6.0644 0.0000 0.0000
-3.0322 5.2519 0.0000
0.0000 0.0000 6.1611
Ba Na H Pd
2 2 6 2
Direct
0.3333 0.6667 0.2500
0.6667 0.3333 0.7500
0.0000 0.0000 0.0000
0.0000 0.0000 0.5000
0.1678 0.3356 0.7500
0.1678 0.8322 0.7500
0.3356 0.1678 0.2500
0.6644 0.8322 0.7500
0.8322 0.1678 0.2500
0.8322 0.6644 0.2500
0.3333 0.6667 0.7500
0.6667 0.3333 0.2500
```

**Uncorrected energy**: -0.1289 hartree per atom
**Magnetic moment**: 0.0 μB/cell